Entry 1:
# PBE CuBi4Pd, relaxed
data_CuBi4Pd
_cell_length_a 6.900
_cell_length_b 6.900
_cell_length_c 12.759
_cell_angle_alpha 90.00
_cell_angle_beta 90.00
_cell_angle_gamma 90.00
_symmetry_space_group_name_H-M 'I 4/m c m'
_symmetry_Int_Tables_number 140
_symmetry_space_group_name_Hall '-I 4 2c'
loop_
_atom_site_label
_atom_site_type_symbol
_atom_site_fract_x
_atom_site_fract_y
_atom_site_fract_z
Cu1 Cu 0.000 0.000 0.250
Bi1 Bi 0.167 0.333 0.126
Pd1 Pd 0.000 0.000 0.000
# Total DFT energy (no corrections), eV per atom: -4.1530
# DFT formation energy, meV/atom: -18
# Spin magnetization, μB per formula unit: 0.00
# Crystal system: tetragonal

---

Entry 2:
# PBE TlZnMo2, relaxed
data_TlZnMo2
_cell_length_a 2.799
_cell_length_b 2.799
_cell_length_c 8.840
_cell_angle_alpha 90.00
_cell_angle_beta 90.00
_cell_angle_gamma 90.00
_symmetry_space_group_name_H-M 'P 4/m m m'
_symmetry_Int_Tables_number 123
_symmetry_space_group_name_Hall '-P 4 2'
loop_
_atom_site_label
_atom_site_type_symbol
_atom_site_fract_x
_atom_site_fract_y
_atom_site_fract_z
Tl1 Tl 0.000 0.000 0.000
Zn1 Zn 0.000 0.000 0.500
Mo1 Mo 0.500 0.500 0.274
# Total DFT energy (no corrections), eV per atom: -5.7034
# Distance to the lowest polymorph of the same formula, eV per atom: 0.287
# DFT formation energy, meV/atom: 622
# Spin magnetization, μB per formula unit: 0.00
# Crystal system: tetragonal

---

Entry 3:
# PBE BaTlPdS2, relaxed
data_BaTlPdS2
_cell_length_a 5.660
_cell_length_b 5.660
_cell_length_c 6.759
_cell_angle_alpha 90.00
_cell_angle_beta 90.00
_cell_angle_gamma 90.00
_symmetry_space_group_name_H-M 'P 4/m m m'
_symmetry_Int_Tables_number 123
_symmetry_space_group_name_Hall '-P 4 2'
loop_
_atom_site_label
_atom_site_type_symbol
_atom_site_fract_x
_atom_site_fract_y
_atom_site_fract_z
Ba1 Ba 0.000 0.000 0.000
Tl1 Tl 0.000 0.000 0.500
Pd1 Pd 0.500 0.500 0.500
S1 S 0.000 0.500 0.000
# Total DFT energy (no corrections), eV per atom: -2.9537
# Spin magnetization, μB per formula unit: 0.00
# Crystal system: tetragonal
# Formation energy (no corrections), eV/f.u.: 3.0

---

Entry 4:
# PBE Pm6Y12Ho, relaxed
data_Pm6Y12Ho
_cell_length_a 11.1736
_cell_length_b 11.1736
_cell_length_c 17.5885
_cell_angle_alpha 90.00
_cell_angle_beta 90.00
_cell_angle_gamma 120.00
_symmetry_space_group_name_H-M 'R -3 m'
_symmetry_Int_Tables_number 166
_symmetry_space_group_name_Hall '-R 3 2"'
loop_
_atom_site_label
_atom_site_type_symbol
_atom_site_fract_x
_atom_site_fract_y
_atom_site_fract_z
Pm1 Pm 0.0714 0.5357 0.2659
Y1 Y 0.1004 0.5502 0.9139
Y2 Y 0.1065 0.2130 0.9089
Ho1 Ho 0.0000 0.0000 0.5000
# Total DFT energy (no corrections), eV per atom: -5.7071
# Distance to the lowest polymorph of the same formula, eV per atom: 0.000
# DFT formation energy, meV/atom: 117
# Spin magnetization, μB per formula unit: 0.00
# Crystal system: trigonal

---

Entry 5:
# PBE Cs3Pa2BiO9, relaxed
data_Cs3Pa2BiO9
_cell_length_a 6.2568
_cell_length_b 6.2568
_cell_length_c 7.6669
_cell_angle_alpha 90.00
_cell_angle_beta 90.00
_cell_angle_gamma 120.00
_symmetry_space_group_name_H-M 'P -3 m 1'
_symmetry_Int_Tables_number 164
_symmetry_space_group_name_Hall '-P 3 2"'
loop_
_atom_site_label
_atom_site_type_symbol
_atom_site_fract_x
_atom_site_fract_y
_atom_site_fract_z
Cs1 Cs 0.0000 0.0000 0.0000
Cs2 Cs 0.3333 0.6667 0.6646
Pa1 Pa 0.3333 0.6667 0.1695
Bi1 Bi 0.0000 0.0000 0.5000
O1 O 0.0000 0.5000 0.0000
O2 O 0.1671 0.3342 0.3322
# Total DFT energy (no corrections), eV per atom: -7.0634
# Spin magnetization, μB per formula unit: 0.00
# Crystal system: trigonal
# Formation energy (no corrections), eV/f.u.: -35.9

---

Entry 6:
# PBE La3NbBi, relaxed
data_La3NbBi
_cell_length_a 5.534
_cell_length_b 5.534
_cell_length_c 5.534
_cell_angle_alpha 90.00
_cell_angle_beta 90.00
_cell_angle_gamma 90.00
_symmetry_space_group_name_H-M 'P m -3 m'
_symmetry_Int_Tables_number 221
_symmetry_space_group_name_Hall '-P 4 2 3'
loop_
_atom_site_label
_atom_site_type_symbol
_atom_site_fract_x
_atom_site_fract_y
_atom_site_fract_z
La1 La 0.000 0.000 0.500
Nb1 Nb 0.000 0.000 0.000
Bi1 Bi 0.500 0.500 0.500
# Total DFT energy (no corrections), eV per atom: -5.7568
# Distance to the lowest polymorph of the same formula, eV per atom: 0.000
# DFT formation energy, meV/atom: -10
# Spin magnetization, μB per formula unit: 0.00
# Crystal system: cubic

---

Entry 7:
# PBE BaNa2Se2, relaxed
data_BaNa2Se2
_cell_length_a 4.373
_cell_length_b 4.373
_cell_length_c 14.872
_cell_angle_alpha 90.00
_cell_angle_beta 90.00
_cell_angle_gamma 90.00
_symmetry_space_group_name_H-M 'I 4/m m m'
_symmetry_Int_Tables_number 139
_symmetry_space_group_name_Hall '-I 4 2'
loop_
_atom_site_label
_atom_site_type_symbol
_atom_site_fract_x
_atom_site_fract_y
_atom_site_fract_z
Ba1 Ba 0.000 0.000 0.000
Na1 Na 0.000 0.500 0.250
Se1 Se 0.000 0.000 0.377
# Total DFT energy (no corrections), eV per atom: -3.6376
# Distance to the lowest polymorph of the same formula, eV per atom: 0.000
# Spin magnetization, μB per formula unit: 0.00
# Crystal system: tetragonal
# Formation energy (no corrections), eV/f.u.: -6.7

---

Entry 8:
# PBE MnCoTe2I, relaxed
data_MnCoTe2I
_cell_length_a 5.014
_cell_length_b 5.014
_cell_length_c 5.431
_cell_angle_alpha 90.00
_cell_angle_beta 90.00
_cell_angle_gamma 90.00
_symmetry_space_group_name_H-M 'P 4/m m m'
_symmetry_Int_Tables_number 123
_symmetry_space_group_name_Hall '-P 4 2'
loop_
_atom_site_label
_atom_site_type_symbol
_atom_site_fract_x
_atom_site_fract_y
_atom_site_fract_z
Mn1 Mn 0.000 0.000 0.000
Co1 Co 0.500 0.500 0.500
Te1 Te 0.000 0.500 0.500
I1 I 0.500 0.500 0.000
# Total DFT energy (no corrections), eV per atom: -4.2489
# Distance to the lowest polymorph of the same formula, eV per atom: 0.000
# Spin magnetization, μB per formula unit: 3.89
# Crystal system: tetragonal
# Formation energy (no corrections), eV/f.u.: 2.9

---

Entry 9:
# PBE BeTe3, relaxed
data_BeTe3
_cell_length_a 3.735
_cell_length_b 5.087
_cell_length_c 11.460
_cell_angle_alpha 90.00
_cell_angle_beta 90.00
_cell_angle_gamma 90.00
_symmetry_space_group_name_H-M 'I m m m'
_symmetry_Int_Tables_number 71
_symmetry_space_group_name_Hall '-I 2 2'
loop_
_atom_site_label
_atom_site_type_symbol
_atom_site_fract_x
_atom_site_fract_y
_atom_site_fract_z
Be1 Be 0.000 0.000 0.000
Te1 Te 0.000 0.000 0.500
Te2 Te 0.000 0.500 0.342
# Total DFT energy (no corrections), eV per atom: -3.0792
# Distance to the lowest polymorph of the same formula, eV per atom: 0.181
# Spin magnetization, μB per formula unit: 0.00
# Crystal system: orthorhombic
# Formation energy (no corrections), eV/f.u.: 0.8

---

Entry 10:
# PBE ScCoTc2, relaxed
data_ScCoTc2
_cell_length_a 2.8338
_cell_length_b 2.8338
_cell_length_c 25.9443
_cell_angle_alpha 90.00
_cell_angle_beta 90.00
_cell_angle_gamma 120.00
_symmetry_space_group_name_H-M 'R 3 m'
_symmetry_Int_Tables_number 160
_symmetry_space_group_name_Hall 'R 3 -2"'
loop_
_atom_site_label
_atom_site_type_symbol
_atom_site_fract_x
_atom_site_fract_y
_atom_site_fract_z
Sc1 Sc 0.0000 0.0000 0.0000
Co1 Co 0.0000 0.0000 0.2523
Tc1 Tc 0.0000 0.0000 0.5062
Tc2 Tc 0.0000 0.0000 0.7594
# Total DFT energy (no corrections), eV per atom: -8.3591
# Distance to the lowest polymorph of the same formula, eV per atom: 0.278
# DFT formation energy, meV/atom: 183
# Spin magnetization, μB per formula unit: 1.05
# Crystal system: trigonal

---

Entry 11:
# PBE CsZr3S, relaxed
data_CsZr3S
_cell_length_a 5.057
_cell_length_b 5.057
_cell_length_c 5.057
_cell_angle_alpha 90.00
_cell_angle_beta 90.00
_cell_angle_gamma 90.00
_symmetry_space_group_name_H-M 'P m -3 m'
_symmetry_Int_Tables_number 221
_symmetry_space_group_name_Hall '-P 4 2 3'
loop_
_atom_site_label
_atom_site_type_symbol
_atom_site_fract_x
_atom_site_fract_y
_atom_site_fract_z
Cs1 Cs 0.000 0.000 0.000
Zr1 Zr 0.000 0.500 0.500
S1 S 0.500 0.500 0.500
# Total DFT energy (no corrections), eV per atom: -5.8757
# Spin magnetization, μB per formula unit: 0.00
# Crystal system: cubic
# Formation energy (no corrections), eV/f.u.: 1.2

---

Entry 12:
# PBE CaZnPdAu, relaxed
data_CaZnPdAu
_cell_length_a 7.771
_cell_length_b 4.498
_cell_length_c 5.450
_cell_angle_alpha 90.00
_cell_angle_beta 118.61
_cell_angle_gamma 90.00
_symmetry_space_group_name_H-M 'C 1 m 1'
_symmetry_Int_Tables_number 8
loop_
_symmetry_equiv_pos_as_xyz
'x,y,z'
'x,-y,z'
'x+1/2,y+1/2,z'
'x+1/2,-y+1/2,z'
loop_
_atom_site_label
_atom_site_type_symbol
_atom_site_fract_x
_atom_site_fract_y
_atom_site_fract_z
Ca1 Ca 0.000 0.000 0.000
Zn1 Zn 0.011 0.500 0.532
Pd1 Pd 0.207 0.000 0.619
Au1 Au 0.289 0.500 0.368
# Total DFT energy (no corrections), eV per atom: -3.5182
# DFT formation energy, meV/atom: -582
# Spin magnetization, μB per formula unit: 0.00
# Crystal system: monoclinic

---

Entry 13:
# PBE YHg, relaxed
data_YHg
_cell_length_a 4.444
_cell_length_b 4.444
_cell_length_c 10.515
_cell_angle_alpha 90.00
_cell_angle_beta 90.00
_cell_angle_gamma 90.00
_symmetry_space_group_name_H-M 'I 41/a m d'
_symmetry_Int_Tables_number 141
loop_
_symmetry_equiv_pos_as_xyz
'x,y,z'
'-x,-y,-z'
'-y+1/4,x+3/4,z+1/4'
'y+1/4,-x+3/4,-z+1/4'
'-x+1/2,-y,z+1/2'
'x+1/2,y,-z+1/2'
'y+1/4,-x+1/4,z+3/4'
'-y+1/4,x+1/4,-z+3/4'
'x,-y,-z'
'-x,y,z'
'-y+1/4,-x+1/4,-z+3/4'
'y+1/4,x+1/4,z+3/4'
'-x+1/2,y,-z+1/2'
'x+1/2,-y,z+1/2'
'y+1/4,x+3/4,-z+1/4'
'-y+1/4,-x+3/4,z+1/4'
'x+1/2,y+1/2,z+1/2'
'-x+1/2,-y+1/2,-z+1/2'
'-y+3/4,x+1/4,z+3/4'
'y+3/4,-x+1/4,-z+3/4'
'-x,-y+1/2,z'
'x,y+1/2,-z'
'y+3/4,-x+3/4,z+1/4'
'-y+3/4,x+3/4,-z+1/4'
'x+1/2,-y+1/2,-z+1/2'
'-x+1/2,y+1/2,z+1/2'
'-y+3/4,-x+3/4,-z+1/4'
'y+3/4,x+3/4,z+1/4'
'-x,y+1/2,-z'
'x,-y+1/2,z'
'y+3/4,x+1/4,-z+3/4'
'-y+3/4,-x+1/4,z+3/4'
loop_
_atom_site_label
_atom_site_type_symbol
_atom_site_fract_x
_atom_site_fract_y
_atom_site_fract_z
Y1 Y 0.000 0.250 0.375
Hg1 Hg 0.000 0.250 0.875
# Total DFT energy (no corrections), eV per atom: -3.7225
# DFT formation energy, meV/atom: -340
# Spin magnetization, μB per formula unit: 0.00
# Crystal system: tetragonal